(1)
CuAgSnBr5 | GGA-PBE | optimized geometry

The space group is C2/c (No. 15) and the conventional cell measures 8.562, 13.200 and 9.685 Å, with angles of 90.00, 115.31 and 90.00 degrees. The asymmetric unit holds Cu at (0.000, 0.152, 0.250), Ag at (0.000, 0.500, 0.000), Sn at (0.000, 0.201, 0.750), Br at (0.000, 0.413, 0.750), Br at (0.098, 0.265, 0.099) and Br at (0.171, 0.028, 0.434).

For the formation energy from raw total energies, the calculation gives -0.42 eV per atom. The calculation puts the calculated volume at 989.4 Å³ per cell.

(2)
TaZnRh | GGA-PBE | optimized geometry

The space group is P3m1 (No. 156) and the conventional cell measures 2.8659, 2.8659 and 6.6616 Å, with angles of 90.00, 90.00 and 120.00 degrees. The asymmetric unit holds Ta at (0.0000, 0.0000, 0.0000), Zn at (0.6667, 0.3333, 0.3544) and Rh at (0.3333, 0.6667, 0.6749).

The calculation puts the calculated volume at 47.4 Å³ per cell. For the formation energy, the calculation gives -0.149 eV/atom.

(3)
CsPu2PdO8 | GGA-PBE | optimized geometry

The space group is P-3 (No. 147) and the conventional cell measures 5.6878, 5.6878 and 7.5757 Å, with angles of 90.00, 90.00 and 120.00 degrees. The asymmetric unit holds Cs at (0.0000, 0.0000, 0.0000), Pu at (0.3333, 0.6667, 0.4106), Pd at (0.0000, 0.0000, 0.5000), O at (0.0719, 0.3545, 0.6205) and O at (0.3333, 0.6667, 0.1642).

For the formation energy from raw total energies, the calculation gives -1.80 eV per atom. The calculation puts the calculated volume at 212.2 Å³ per cell.

(4)
Sm5NiS4 | GGA-PBE | optimized geometry

The space group is C2/m (No. 12) and the conventional cell measures 13.531, 3.950 and 9.941 Å, with angles of 90.00, 119.97 and 90.00 degrees. The asymmetric unit holds Sm at (0.000, 0.000, 0.000), Sm at (0.096, 0.500, 0.404), Sm at (0.198, 0.000, 0.798), Ni at (0.000, 0.000, 0.500), S at (0.102, 0.500, 0.905) and S at (0.198, 0.000, 0.299).

For the formation energy from raw total energies, the calculation gives -1.67 eV per atom. The calculation puts the calculated volume at 460.3 Å³ per cell.

(5)
CaSm2TmSe4 | GGA-PBE | optimized geometry

The space group is P2/m (No. 10) and the conventional cell measures 7.126, 4.103 and 7.229 Å, with angles of 90.00, 108.96 and 90.00 degrees. The asymmetric unit holds Ca at (0.000, 0.000, 0.000), Sm at (0.000, 0.500, 0.500), Sm at (0.500, 0.000, 0.500), Tm at (0.500, 0.500, 0.000), Se at (0.252, 0.500, 0.241) and Se at (0.257, 0.000, 0.762).

For the formation energy from raw total energies, the calculation gives -1.82 eV per atom. The calculation puts the calculated volume at 199.9 Å³ per cell.

(6)
PdSOF2 | GGA-PBE | optimized geometry

The space group is P4/mmm (No. 123) and the conventional cell measures 4.347, 4.347 and 3.857 Å, with angles of 90.00, 90.00 and 90.00 degrees. The asymmetric unit holds Pd at (0.000, 0.000, 0.000), S at (0.500, 0.500, 0.500), O at (0.000, 0.000, 0.500) and F at (0.000, 0.500, 0.000).

For the formation energy from raw total energies, the calculation gives -0.07 eV per atom. The calculation puts the calculated volume at 72.9 Å³ per cell.

(7)
Cs2NaTcPb | GGA-PBE | optimized geometry

The space group is P4/mmm (No. 123) and the conventional cell measures 6.583, 6.583 and 5.809 Å, with angles of 90.00, 90.00 and 90.00 degrees. The asymmetric unit holds Cs at (0.000, 0.500, 0.000), Na at (0.000, 0.000, 0.000), Tc at (0.500, 0.500, 0.500) and Pb at (0.000, 0.000, 0.500).

The calculation puts the calculated volume at 251.7 Å³ per cell. For the formation energy, the calculation gives 1.198 eV/atom.

(8)
Mg2CdW | GGA-PBE | optimized geometry

The space group is P4mm (No. 99) and the conventional cell measures 2.862, 2.862 and 9.373 Å, with angles of 90.00, 90.00 and 90.00 degrees. The asymmetric unit holds Mg at (0.000, 0.000, 0.000), Mg at (0.500, 0.500, 0.273), Cd at (0.500, 0.500, 0.743) and W at (0.000, 0.000, 0.501).

The calculation puts the calculated volume at 76.8 Å³ per cell. For the formation energy, the calculation gives 0.334 eV/atom.

(9)
CeNbBr2 | GGA-PBE | optimized geometry

The space group is R-3m (No. 166, hexagonal axes) and the conventional cell measures 3.3707, 3.3707 and 29.3834 Å, with angles of 90.00, 90.00 and 120.00 degrees. The asymmetric unit holds Ce at (0.0000, 0.0000, 0.0000), Nb at (0.0000, 0.0000, 0.5000) and Br at (0.0000, 0.0000, 0.4106).

For the formation energy from raw total energies, the calculation gives -0.33 eV per atom. The calculation puts the calculated volume at 289.1 Å³ per cell.

(10)
Ti4AlNi2 | GGA-PBE | optimized geometry

The space group is R-3m (No. 166, hexagonal axes) and the conventional cell measures 4.1445, 4.1445 and 23.7098 Å, with angles of 90.00, 90.00 and 120.00 degrees. The asymmetric unit holds Ti at (0.0000, 0.0000, 0.1159), Ti at (0.0000, 0.0000, 0.2954), Al at (0.0000, 0.0000, 0.5000) and Ni at (0.0000, 0.0000, 0.3978).

The calculation puts the calculated volume at 352.7 Å³ per cell. For the formation energy, the calculation gives 0.032 eV/atom.

(11)
Sr2Mg3 | GGA-PBE | optimized geometry

The space group is Cmce (No. 64) and the conventional cell measures 6.381, 11.777 and 9.463 Å, with angles of 90.00, 90.00 and 90.00 degrees. The asymmetric unit holds Sr at (0.000, 0.159, 0.097), Mg at (0.000, 0.000, 0.500) and Mg at (0.250, 0.093, 0.750).

The calculation puts the calculated volume at 711.2 Å³ per cell. For the formation energy, the calculation gives -0.037 eV/atom.

(12)
Tm6Al3Tc | GGA-PBE | optimized geometry

The space group is P2_1/m (No. 11) and the conventional cell measures 8.828, 5.077 and 11.149 Å, with angles of 90.00, 109.68 and 90.00 degrees. The asymmetric unit holds Tm at (0.033, 0.250, 0.413), Tm at (0.173, 0.750, 0.167), Tm at (0.271, 0.250, 0.006), Tm at (0.352, 0.750, 0.824), Tm at (0.372, 0.250, 0.344), Tm at (0.389, 0.250, 0.638), Al at (0.026, 0.750, 0.878), Al at (0.102, 0.250, 0.721), Al at (0.265, 0.750, 0.470) and Tc at (0.459, 0.750, 0.099).

The calculation puts the calculated volume at 470.5 Å³ per cell. For the formation energy, the calculation gives -0.261 eV/atom.

(13)
Er6Bi3Ru | GGA-PBE | optimized geometry

The space group is Cmc2_1 (No. 36) and the conventional cell measures 11.198, 14.505 and 7.632 Å, with angles of 90.00, 90.00 and 90.00 degrees. The asymmetric unit holds Er at (0.000, 0.008, 0.000), Er at (0.000, 0.245, 0.532), Er at (0.153, 0.245, 0.077), Er at (0.170, 0.457, 0.583), Bi at (0.000, 0.399, 0.890), Bi at (0.183, 0.111, 0.755) and Ru at (0.000, 0.136, 0.257).

The calculation puts the calculated volume at 1239.6 Å³ per cell. For the formation energy, the calculation gives -0.349 eV/atom.

(14)
Li2RuAu2 | GGA-PBE | optimized geometry

The space group is P4/mbm (No. 127) and the conventional cell measures 7.510, 7.510 and 2.700 Å, with angles of 90.00, 90.00 and 90.00 degrees. The asymmetric unit holds Li at (0.152, 0.348, 0.000), Ru at (0.000, 0.000, 0.500) and Au at (0.148, 0.648, 0.500).

The calculation puts the calculated volume at 152.2 Å³ per cell. For the formation energy, the calculation gives 0.016 eV/atom.

(15)
CaLaTm2 | GGA-PBE | optimized geometry

The space group is R-3m (No. 166, hexagonal axes) and the conventional cell measures 3.6277, 3.6277 and 35.9809 Å, with angles of 90.00, 90.00 and 120.00 degrees. The asymmetric unit holds Ca at (0.0000, 0.0000, 0.0000), La at (0.0000, 0.0000, 0.5000) and Tm at (0.0000, 0.0000, 0.2471).

The calculation puts the calculated volume at 410.1 Å³ per cell. For the formation energy, the calculation gives 0.082 eV/atom.

(16)
Ba2Tl2O | GGA-PBE | optimized geometry

The space group is P4/mbm (No. 127) and the conventional cell measures 7.367, 7.367 and 6.492 Å, with angles of 90.00, 90.00 and 90.00 degrees. The asymmetric unit holds Ba at (0.202, 0.298, 0.000), Tl at (0.142, 0.642, 0.500) and O at (0.000, 0.000, 0.000).

For the formation energy from raw total energies, the calculation gives -0.84 eV per atom. The calculation puts the calculated volume at 352.3 Å³ per cell.

(17)
BPb2Cl | GGA-PBE | optimized geometry

The space group is I-42d (No. 122) and the conventional cell measures 7.035, 7.035 and 9.042 Å, with angles of 90.00, 90.00 and 90.00 degrees. The asymmetric unit holds B at (0.000, 0.000, 0.000), Pb at (0.166, 0.750, 0.125) and Cl at (0.000, 0.000, 0.500).

For the formation energy from raw total energies, the calculation gives 0.41 eV per atom. The calculation puts the calculated volume at 447.5 Å³ per cell.

(18)
Tb2Ga4Tc3 | GGA-PBE | optimized geometry

The space group is Fmmm (No. 69) and the conventional cell measures 5.316, 9.449 and 13.191 Å, with angles of 90.00, 90.00 and 90.00 degrees. The asymmetric unit holds Tb at (0.000, 0.000, 0.127), Ga at (0.000, 0.169, 0.332), Tc at (0.000, 0.000, 0.500) and Tc at (0.250, 0.250, 0.000).

The calculation puts the calculated volume at 662.6 Å³ per cell. For the formation energy, the calculation gives -0.375 eV/atom.

(19)
In2Ag2Cl | GGA-PBE | optimized geometry

The space group is P4/mbm (No. 127) and the conventional cell measures 8.212, 8.212 and 3.393 Å, with angles of 90.00, 90.00 and 90.00 degrees. The asymmetric unit holds In at (0.179, 0.321, 0.000), Ag at (0.120, 0.620, 0.500) and Cl at (0.000, 0.000, 0.500).

For the formation energy from raw total energies, the calculation gives -0.12 eV per atom. The calculation puts the calculated volume at 228.8 Å³ per cell.

(20)
Cs3Ti2I8 | GGA-PBE | optimized geometry

The space group is R-3m (No. 166, hexagonal axes) and the conventional cell measures 8.7983, 8.7983 and 29.2492 Å, with angles of 90.00, 90.00 and 120.00 degrees. The asymmetric unit holds Cs at (0.0000, 0.0000, 0.0000), Cs at (0.0000, 0.0000, 0.2243), Ti at (0.0000, 0.0000, 0.4499), I at (0.0000, 0.0000, 0.3523) and I at (0.0225, 0.5112, 0.7810).

For the formation energy from raw total energies, the calculation gives -1.00 eV per atom. The calculation puts the calculated volume at 1960.8 Å³ per cell.

(21)
BeGa3Os | GGA-PBE | optimized geometry

The space group is Pm-3m (No. 221) and the conventional cell measures 4.816, 4.816 and 4.816 Å, with angles of 90.00, 90.00 and 90.00 degrees. The asymmetric unit holds Be at (0.000, 0.000, 0.000), Ga at (0.000, 0.500, 0.500) and Os at (0.500, 0.500, 0.500).

The calculation puts the calculated volume at 111.7 Å³ per cell. For the formation energy, the calculation gives 0.561 eV/atom.

(22)
KDyPb2Br8 | GGA-PBE | optimized geometry

The space group is P-1 (No. 2) and the conventional cell measures 6.848, 7.231 and 9.221 Å, with angles of 89.99, 89.96 and 89.07 degrees. The asymmetric unit holds K at (0.000, 0.000, 0.000), Dy at (0.000, 0.000, 0.500), Pb at (0.500, 0.500, 0.250), Br at (0.237, 0.321, 0.500), Br at (0.239, 0.847, 0.282), Br at (0.239, 0.847, 0.718) and Br at (0.269, 0.365, 0.000).

For the formation energy from raw total energies, the calculation gives -1.36 eV per atom. The calculation puts the calculated volume at 456.5 Å³ per cell.

(23)
KGaSi | GGA-PBE | optimized geometry

The space group is Pmmm (No. 47) and the conventional cell measures 4.181, 5.485 and 7.249 Å, with angles of 90.00, 90.00 and 90.00 degrees. The asymmetric unit holds K at (0.000, 0.000, 0.000), K at (0.500, 0.000, 0.500), Ga at (0.000, 0.500, 0.329) and Si at (0.500, 0.500, 0.161).

For the formation energy from raw total energies, the calculation gives -0.11 eV per atom. The calculation puts the calculated volume at 166.2 Å³ per cell.

Table of magnetization (Bohr magnetons per cell), in record order: 0.00 0.00 5.00 0.00 0.00 1.89 3.99 0.00 2.09 0.00 0.00 0.00 0.03 0.00 0.01 0.00 0.00 0.00 0.00 9.00 0.00 0.00 0.00